1.
The following is a PBE calculation of LaTb6Dy12 after structural relaxation, from Alexandria.

Output
Excess energy over the best structure of this formula in the dataset, meV/atom: 0

CIF file:
```
data_LaTb6Dy12
_chemical_formula_sum 'La3 Tb18 Dy36'
_cell_length_a 11.9265
_cell_length_b 11.9265
_cell_length_c 15.1574
_cell_angle_alpha 90.00
_cell_angle_beta 90.00
_cell_angle_gamma 120.00
_symmetry_space_group_name_H-M 'R -3'
_symmetry_Int_Tables_number 148
_symmetry_space_group_name_Hall '-R 3'
loop_
_atom_site_label
_atom_site_fract_x
_atom_site_fract_y
_atom_site_fract_z
La1 0.0000 0.0000 0.0000
Tb1 0.0079 0.5868 0.6787
Dy1 0.0185 0.1818 0.1919
Dy2 0.0403 0.1889 0.4159
```

=====

2.
The following is a PBE calculation of LaTb2Dy after structural relaxation, from Alexandria.

Output
Excess energy over the best structure of this formula in the dataset, meV/atom: 12

CIF file:
```
data_LaTb2Dy
_chemical_formula_sum 'La3 Tb6 Dy3'
_cell_length_a 3.6038
_cell_length_b 3.6038
_cell_length_c 35.2331
_cell_angle_alpha 90.00
_cell_angle_beta 90.00
_cell_angle_gamma 120.00
_symmetry_space_group_name_H-M 'R -3 m'
_symmetry_Int_Tables_number 166
_symmetry_space_group_name_Hall '-R 3 2"'
loop_
_atom_site_label
_atom_site_fract_x
_atom_site_fract_y
_atom_site_fract_z
La1 0.0000 0.0000 0.0000
Tb1 0.0000 0.0000 0.2480
Dy1 0.0000 0.0000 0.5000
```

=====

3.
The following is a PBE calculation of La4TbDy15 after structural relaxation, from Alexandria.

CIF file:
```
data_La4TbDy15
_chemical_formula_sum 'La4 Tb1 Dy15'
_cell_length_a 5.084
_cell_length_b 5.084
_cell_length_c 25.261
_cell_angle_alpha 90.00
_cell_angle_beta 90.00
_cell_angle_gamma 90.00
_symmetry_space_group_name_H-M 'P 4/m m m'
_symmetry_Int_Tables_number 123
_symmetry_space_group_name_Hall '-P 4 2'
loop_
_atom_site_label
_atom_site_fract_x
_atom_site_fract_y
_atom_site_fract_z
La1 0.000 0.000 0.101
La2 0.000 0.000 0.300
Tb1 0.000 0.000 0.500
Dy1 0.000 0.500 0.000
Dy2 0.000 0.500 0.201
Dy3 0.000 0.500 0.402
Dy4 0.500 0.500 0.100
Dy5 0.500 0.500 0.302
Dy6 0.500 0.500 0.500
```

=====

4.
The following is a PBE calculation of La4Tb3Dy4 after structural relaxation, from Alexandria.

Output
Excess energy over the best structure of this formula in the dataset, meV/atom: 0

CIF file:
```
data_La4Tb3Dy4
_chemical_formula_sum 'La4 Tb3 Dy4'
_cell_length_a 3.538
_cell_length_b 5.750
_cell_length_c 18.354
_cell_angle_alpha 99.00
_cell_angle_beta 95.53
_cell_angle_gamma 90.01
_symmetry_space_group_name_H-M 'P -1'
_symmetry_Int_Tables_number 2
loop_
_symmetry_equiv_pos_as_xyz
'x,y,z'
'-x,-y,-z'
loop_
_atom_site_label
_atom_site_fract_x
_atom_site_fract_y
_atom_site_fract_z
La1 0.092 0.091 0.183
La2 0.231 0.730 0.461
Tb1 0.364 0.364 0.728
Tb2 0.500 0.000 0.000
Dy1 0.045 0.544 0.090
Dy2 0.182 0.182 0.363
```

=====

5.
The following is a PBE calculation of La2Tb2Dy5 after structural relaxation, from Alexandria.

Output
Excess energy over the best structure of this formula in the dataset, meV/atom: 10

CIF file:
```
data_La2Tb2Dy5
_chemical_formula_sum 'La4 Tb4 Dy10'
_cell_length_a 21.844
_cell_length_b 3.501
_cell_length_c 8.306
_cell_angle_alpha 90.00
_cell_angle_beta 100.37
_cell_angle_gamma 90.00
_symmetry_space_group_name_H-M 'C 1 2/m 1'
_symmetry_Int_Tables_number 12
loop_
_symmetry_equiv_pos_as_xyz
'x,y,z'
'-x,-y,-z'
'-x,y,-z'
'x,-y,z'
'x+1/2,y+1/2,z'
'-x+1/2,-y+1/2,-z'
'-x+1/2,y+1/2,-z'
'x+1/2,-y+1/2,z'
loop_
_atom_site_label
_atom_site_fract_x
_atom_site_fract_y
_atom_site_fract_z
La1 0.181 0.000 0.144
Tb1 0.046 0.500 0.357
Dy1 0.000 0.000 0.000
Dy2 0.096 0.000 0.733
Dy3 0.191 0.500 0.534
```

=====

6.
The following is a PBE calculation of La2Tb3Dy after structural relaxation, from Alexandria.

Output
Excess energy over the best structure of this formula in the dataset, meV/atom: 47

CIF file:
```
data_La2Tb3Dy
_chemical_formula_sum 'La4 Tb6 Dy2'
_cell_length_a 7.127
_cell_length_b 9.891
_cell_length_c 5.720
_cell_angle_alpha 90.00
_cell_angle_beta 90.00
_cell_angle_gamma 90.00
_symmetry_space_group_name_H-M 'P n n m'
_symmetry_Int_Tables_number 58
loop_
_symmetry_equiv_pos_as_xyz
'x,y,z'
'-x,-y,-z'
'-x,-y,z'
'x,y,-z'
'x+1/2,-y+1/2,-z+1/2'
'-x+1/2,y+1/2,z+1/2'
'-x+1/2,y+1/2,-z+1/2'
'x+1/2,-y+1/2,z+1/2'
loop_
_atom_site_label
_atom_site_fract_x
_atom_site_fract_y
_atom_site_fract_z
La1 0.249 0.167 0.000
Tb1 0.000 0.500 0.000
Tb2 0.250 0.333 0.500
Dy1 0.000 0.000 0.500
```

=====

7.
The following is a PBE calculation of La2Tb6Dy5 after structural relaxation, from Alexandria.

CIF file:
```
data_La2Tb6Dy5
_chemical_formula_sum 'La4 Tb12 Dy10'
_cell_length_a 11.768
_cell_length_b 20.342
_cell_length_c 3.606
_cell_angle_alpha 90.00
_cell_angle_beta 90.00
_cell_angle_gamma 90.00
_symmetry_space_group_name_H-M 'P b a m'
_symmetry_Int_Tables_number 55
loop_
_symmetry_equiv_pos_as_xyz
'x,y,z'
'-x,-y,-z'
'-x,-y,z'
'x,y,-z'
'x+1/2,-y+1/2,-z'
'-x+1/2,y+1/2,z'
'-x+1/2,y+1/2,-z'
'x+1/2,-y+1/2,z'
loop_
_atom_site_label
_atom_site_fract_x
_atom_site_fract_y
_atom_site_fract_z
La1 0.169 0.220 0.000
Tb1 0.060 0.925 0.000
Tb2 0.077 0.637 0.000
Tb3 0.180 0.377 0.500
Dy1 0.000 0.500 0.500
Dy2 0.093 0.781 0.500
Dy3 0.200 0.054 0.500
```

=====

8.
The following is a PBE calculation of La3Tb4Dy2 after structural relaxation, from Alexandria.

Output
Excess energy over the best structure of this formula in the dataset, meV/atom: 0

CIF file:
```
data_La3Tb4Dy2
_chemical_formula_sum 'La6 Tb8 Dy4'
_cell_length_a 15.798
_cell_length_b 3.625
_cell_length_c 10.828
_cell_angle_alpha 90.00
_cell_angle_beta 103.70
_cell_angle_gamma 90.00
_symmetry_space_group_name_H-M 'C 1 2/m 1'
_symmetry_Int_Tables_number 12
loop_
_symmetry_equiv_pos_as_xyz
'x,y,z'
'-x,-y,-z'
'-x,y,-z'
'x,-y,z'
'x+1/2,y+1/2,z'
'-x+1/2,-y+1/2,-z'
'-x+1/2,y+1/2,-z'
'x+1/2,-y+1/2,z'
loop_
_atom_site_label
_atom_site_fract_x
_atom_site_fract_y
_atom_site_fract_z
La1 0.000 0.000 0.000
La2 0.167 0.500 0.556
Tb1 0.000 0.000 0.331
Tb2 0.167 0.500 0.890
Dy1 0.167 0.500 0.221
```

=====

no.,formation enthalpy at 0 K (meV/atom),spin magnetization (μB per formula unit)
1,154,0.000
2,20,0.000
3,28,0.000
4,64,0.000
5,213,0.001
6,74,0.000
7,100,0.000
8,22,0.000